1.
5
Lattice="4.722 0.000 0.000 0.000 4.722 0.000 0.000 0.000 4.957" Properties=species:S:1:pos:R:3 comment="TcAgAs2W, relaxed, DFT PBE" e_tot_ev_per_cell=-24.6 volume_a3_per_cell=111 pbc="T T T"
Tc 0.000 0.000 0.000
Ag 0.000 0.000 2.478
As 0.000 2.361 2.478
As 2.361 0.000 2.478
W 2.361 2.361 0.000

---

2.
6
Lattice="3.763 0.000 0.000 0.000 3.763 0.000 0.000 0.000 5.265" Properties=species:S:1:pos:R:3 comment="PuH2, relaxed, DFT PBE" e_tot_ev_per_cell=-44.2 volume_a3_per_cell=75 pbc="T T T"
Pu 0.000 0.000 0.000
Pu 1.881 1.881 2.632
H 0.000 1.881 1.316
H 0.000 1.881 3.949
H 1.881 0.000 1.316
H 1.881 0.000 3.949

---

3.
6
Lattice="0.000 3.694 3.694 3.694 0.000 3.694 3.694 3.694 0.000" Properties=species:S:1:pos:R:3 comment="Al4HgRh, relaxed, DFT PBE" e_tot_ev_per_cell=-22.1 volume_a3_per_cell=101 pbc="T T T"
Al 2.776 2.776 2.776
Al 4.612 4.612 2.776
Al 4.612 2.776 4.612
Al 2.776 4.612 4.612
Hg 0.000 0.000 0.000
Rh 5.541 5.541 5.541

---

4.
11
Lattice="6.290 -4.025 0.000 6.290 4.025 0.000 -5.033 0.000 6.993" Properties=species:S:1:pos:R:3 comment="Cs2Pd4Pb5, relaxed, DFT PBE" e_tot_ev_per_cell=-42.7 volume_a3_per_cell=354 pbc="T T T"
Cs -0.761 0.000 2.508
Cs 8.309 0.000 4.485
Pd 2.936 0.000 0.866
Pd 1.846 0.000 5.488
Pd 5.703 0.000 1.505
Pd 4.612 0.000 6.127
Pb -0.359 1.615 6.253
Pb 7.908 1.615 0.740
Pb 3.774 0.000 3.496
Pb -0.359 -1.615 6.253
Pb 7.908 -1.615 0.740

---

5.
12
Lattice="2.675 1.544 9.070 -2.675 1.544 9.070 0.000 -3.089 9.070" Properties=species:S:1:pos:R:3 comment="Ce2PmRe9, relaxed, DFT PBE" e_tot_ev_per_cell=-128.1 volume_a3_per_cell=225 pbc="T T T"
Ce 0.000 0.000 3.985
Ce 0.000 0.000 23.226
Pm 0.000 0.000 0.000
Re -1.355 -0.782 11.313
Re 0.000 0.000 9.133
Re 0.000 -1.564 15.898
Re -1.355 0.782 15.898
Re 0.000 0.000 13.605
Re 1.355 -0.782 11.313
Re 0.000 1.564 11.313
Re 0.000 0.000 18.078
Re 1.355 0.782 15.898

---

6.
16
Lattice="2.711 -5.851 0.000 2.711 5.851 0.000 0.000 0.000 13.985" Properties=species:S:1:pos:R:3 comment="Ce5TlHg2, relaxed, DFT PBE" relative_energy_mev_per_atom=97 volume_a3_per_cell=444 pbc="T T T"
Ce 2.711 5.351 10.489
Ce 2.711 4.600 0.332
Ce 2.711 4.600 6.660
Ce 2.711 0.914 0.972
Ce 2.711 0.914 6.020
Ce 2.711 -0.914 7.965
Ce 2.711 -0.914 13.013
Ce 2.711 -4.600 7.324
Ce 2.711 -4.600 13.653
Ce 2.711 -5.351 3.496
Tl 2.711 2.952 3.496
Tl 2.711 -2.952 10.489
Hg 2.711 2.210 8.955
Hg 2.711 2.210 12.022
Hg 2.711 -2.210 1.962
Hg 2.711 -2.210 5.030

---

7.
2
Lattice="2.971 0.000 0.000 -1.485 2.573 0.000 0.000 0.000 3.932" Properties=species:S:1:pos:R:3 comment="TaMn, relaxed, DFT PBE" e_tot_ev_per_cell=-20.3 volume_a3_per_cell=30 pbc="T T T"
Ta 0.000 0.000 0.000
Mn 1.485 0.858 1.966

---

8.
12
Lattice="4.794 0.000 0.000 -2.397 4.152 0.000 0.000 0.000 17.579" Properties=species:S:1:pos:R:3 comment="AcNdSi2, relaxed, DFT PBE" relative_energy_mev_per_atom=283 volume_a3_per_cell=350 pbc="T T T"
Ac 0.000 0.000 0.000
Ac 0.000 2.768 11.719
Ac 2.397 1.384 5.860
Nd 0.000 0.000 8.790
Nd 0.000 2.768 2.930
Nd 2.397 1.384 14.649
Si 0.000 0.000 4.138
Si 0.000 0.000 13.441
Si 0.000 2.768 7.582
Si 0.000 2.768 15.857
Si 2.397 1.384 1.722
Si 2.397 1.384 9.998

---

9.
5
Lattice="5.370 0.000 0.000 0.000 5.370 0.000 0.000 0.000 5.370" Properties=species:S:1:pos:R:3 comment="Ba3RuF, relaxed, DFT PBE" relative_energy_mev_per_atom=0 volume_a3_per_cell=155 pbc="T T T"
Ba 0.000 0.000 2.685
Ba 0.000 2.685 0.000
Ba 2.685 0.000 0.000
Ru 2.685 2.685 2.685
F 0.000 0.000 0.000

---

10.
5
Lattice="4.177 0.000 0.000 0.000 4.177 0.000 0.000 0.000 4.177" Properties=species:S:1:pos:R:3 comment="LiMo3P, relaxed, DFT PBE" relative_energy_mev_per_atom=624 volume_a3_per_cell=73 pbc="T T T"
Li 0.000 0.000 0.000
Mo 0.000 0.000 2.088
Mo 0.000 2.088 0.000
Mo 2.088 0.000 0.000
P 2.088 2.088 2.088